Compound: TeHSe2Br
Source: Alexandria
Functional: PBE
Structure: relaxed

```
TeHSe2Br
1.0
-3.565 -0.277 1.915
-1.457 -2.257 -3.039
2.545 -6.718 3.768
Te Br Se H
1 1 2 1
Direct
0.500 0.500 0.500 Te
0.000 0.000 0.500 Br
0.000 0.500 0.000 Se
0.500 0.000 0.000 Se
0.000 0.000 0.000 H
```

Results
Calculated total energy ... -12.79 eV per cell
Mass density ... 4.6 g cm⁻³